(1)
NaMnAs2 after structural relaxation, computed with GGA-PBE.

Values from the calculation:
- size of the total moment (μB/f.u.) = 2.63
- excess energy over the best structure of this formula in the dataset (eV per atom) = 0.017
- calculated formation energy (eV/atom) = -0.236
- SG = R3m

a = 3.406 Å, b = 3.406 Å, c = 23.290 Å
α = 90.00°, β = 90.00°, γ = 120.00°
Fractional positions:
Na 0.000 0.000 0.000
Na 0.333 0.667 0.667
Na 0.667 0.333 0.333
Mn 0.000 0.000 0.834
Mn 0.333 0.667 0.501
Mn 0.667 0.333 0.167
As 0.000 0.000 0.233
As 0.000 0.000 0.434
As 0.333 0.667 0.101
As 0.333 0.667 0.900
As 0.667 0.333 0.567
As 0.667 0.333 0.768

***

(2)
NaLaPb4 after structural relaxation, computed with GGA-PBE.

Values from the calculation:
- size of the total moment (μB/f.u.) = 0.00
- calculated formation energy (eV/atom) = -0.224
- SG = F-43m

a = 6.513 Å, b = 6.513 Å, c = 6.513 Å
α = 60.00°, β = 60.00°, γ = 60.00°
Fractional positions:
Na 0.000 0.000 0.000
La 0.250 0.250 0.250
Pb 0.127 0.624 0.624
Pb 0.624 0.127 0.624
Pb 0.624 0.624 0.127
Pb 0.624 0.624 0.624

***

(3)
ErSc3In2 after structural relaxation, computed with GGA-PBE.

Values from the calculation:
- size of the total moment (μB/f.u.) = 0.00
- excess energy over the best structure of this formula in the dataset (eV per atom) = 0.000
- calculated formation energy (eV/atom) = -0.281
- SG = Pnma

a = 8.506 Å, b = 3.288 Å, c = 21.145 Å
α = 90.00°, β = 90.00°, γ = 90.00°
Fractional positions:
Er 0.153 0.250 0.163
Er 0.347 0.750 0.663
Er 0.653 0.250 0.337
Er 0.847 0.750 0.837
Sc 0.045 0.250 0.423
Sc 0.109 0.250 0.935
Sc 0.217 0.750 0.808
Sc 0.283 0.250 0.308
Sc 0.391 0.750 0.435
Sc 0.455 0.750 0.923
Sc 0.545 0.250 0.077
Sc 0.609 0.250 0.565
Sc 0.717 0.750 0.692
Sc 0.783 0.250 0.192
Sc 0.891 0.750 0.065
Sc 0.955 0.750 0.577
In 0.025 0.250 0.710
In 0.248 0.250 0.541
In 0.252 0.750 0.041
In 0.475 0.750 0.210
In 0.525 0.250 0.790
In 0.748 0.250 0.959
In 0.752 0.750 0.459
In 0.975 0.750 0.290

***

(4)
TlSiW after structural relaxation, computed with GGA-PBE.

Values from the calculation:
- size of the total moment (μB/f.u.) = 0.00
- excess energy over the best structure of this formula in the dataset (eV per atom) = 0.120
- SG = P3m1
- energy relative to the elements, uncorrected (meV per atom) = 645

a = 3.105 Å, b = 3.105 Å, c = 6.749 Å
α = 90.00°, β = 90.00°, γ = 120.00°
Fractional positions:
Tl 0.000 0.000 0.000
Si 0.333 0.667 0.629
W 0.667 0.333 0.366

***

(5)
Y4ZnPd after structural relaxation, computed with GGA-PBE.

Values from the calculation:
- size of the total moment (μB/f.u.) = 0.00
- excess energy over the best structure of this formula in the dataset (eV per atom) = 0.000
- calculated formation energy (eV/atom) = -0.426
- SG = F-43m

a = 9.588 Å, b = 9.588 Å, c = 9.588 Å
α = 60.00°, β = 60.00°, γ = 60.00°
Fractional positions:
Y 0.184 0.184 0.816
Y 0.184 0.816 0.184
Y 0.184 0.816 0.816
Y 0.388 0.388 0.388
Y 0.388 0.388 0.835
Y 0.388 0.835 0.388
Y 0.560 0.560 0.940
Y 0.560 0.940 0.560
Y 0.560 0.940 0.940
Y 0.816 0.184 0.184
Y 0.816 0.184 0.816
Y 0.816 0.816 0.184
Y 0.835 0.388 0.388
Y 0.940 0.560 0.560
Y 0.940 0.560 0.940
Y 0.940 0.940 0.560
Zn 0.167 0.167 0.167
Zn 0.167 0.167 0.499
Zn 0.167 0.499 0.167
Zn 0.499 0.167 0.167
Pd 0.192 0.603 0.603
Pd 0.603 0.192 0.603
Pd 0.603 0.603 0.192
Pd 0.603 0.603 0.603

***

(6)
Nd3Er3Sc5 after structural relaxation, computed with GGA-PBE.

Values from the calculation:
- size of the total moment (μB/f.u.) = 1.32
- calculated formation energy (eV/atom) = 0.825
- SG = P-62m

a = 9.116 Å, b = 9.116 Å, c = 5.383 Å
α = 90.00°, β = 90.00°, γ = 120.00°
Fractional positions:
Nd 0.000 0.376 0.000
Nd 0.376 0.000 0.000
Nd 0.624 0.624 0.000
Er 0.000 0.597 0.500
Er 0.403 0.403 0.500
Er 0.597 0.000 0.500
Sc 0.000 0.750 0.000
Sc 0.250 0.250 0.000
Sc 0.333 0.667 0.000
Sc 0.667 0.333 0.000
Sc 0.750 0.000 0.000

***

(7)
MgOsCl2 after structural relaxation, computed with GGA-PBE.

Values from the calculation:
- size of the total moment (μB/f.u.) = 0.00
- excess energy over the best structure of this formula in the dataset (eV per atom) = 0.192
- SG = P4mm
- energy relative to the elements, uncorrected (meV per atom) = -26

a = 3.013 Å, b = 3.013 Å, c = 8.539 Å
α = 90.00°, β = 90.00°, γ = 90.00°
Fractional positions:
Mg 0.000 0.000 0.000
Os 0.500 0.500 0.240
Cl 0.000 0.000 0.412
Cl 0.500 0.500 0.826

***

(8)
Tb3HoErTh after structural relaxation, computed with GGA-PBE.

Values from the calculation:
- size of the total moment (μB/f.u.) = 0.00
- calculated formation energy (eV/atom) = 0.023
- SG = P2_1/m

a = 10.632 Å, b = 3.561 Å, c = 10.636 Å
α = 90.00°, β = 109.31°, γ = 90.00°
Fractional positions:
Tb 0.042 0.250 0.371
Tb 0.292 0.750 0.624
Tb 0.457 0.750 0.127
Tb 0.543 0.250 0.873
Tb 0.708 0.250 0.376
Tb 0.958 0.750 0.629
Ho 0.207 0.250 0.878
Ho 0.793 0.750 0.122
Er 0.374 0.250 0.373
Er 0.626 0.750 0.627
Th 0.124 0.750 0.124
Th 0.876 0.250 0.876

***

(9)
LaHf3Re after structural relaxation, computed with GGA-PBE.

Values from the calculation:
- size of the total moment (μB/f.u.) = 0.01
- excess energy over the best structure of this formula in the dataset (eV per atom) = 1.873
- calculated formation energy (eV/atom) = 2.184
- SG = Pm-3m

a = 4.985 Å, b = 4.985 Å, c = 4.985 Å
α = 90.00°, β = 90.00°, γ = 90.00°
Fractional positions:
La 0.000 0.000 0.000
Hf 0.000 0.000 0.500
Hf 0.000 0.500 0.000
Hf 0.500 0.000 0.000
Re 0.500 0.500 0.500

***

(10)
BaTe2Au after structural relaxation, computed with GGA-PBE.

Values from the calculation:
- size of the total moment (μB/f.u.) = 0.00
- excess energy over the best structure of this formula in the dataset (eV per atom) = 0.388
- SG = Fm-3m
- energy relative to the elements, uncorrected (meV per atom) = -461

a = 7.941 Å, b = 7.941 Å, c = 7.941 Å
α = 90.00°, β = 90.00°, γ = 90.00°
Fractional positions:
Ba 0.000 0.000 0.000
Ba 0.000 0.500 0.500
Ba 0.500 0.000 0.500
Ba 0.500 0.500 0.000
Te 0.250 0.250 0.250
Te 0.250 0.250 0.750
Te 0.250 0.750 0.250
Te 0.250 0.750 0.750
Te 0.750 0.250 0.250
Te 0.750 0.250 0.750
Te 0.750 0.750 0.250
Te 0.750 0.750 0.750
Au 0.000 0.000 0.500
Au 0.000 0.500 0.000
Au 0.500 0.000 0.000
Au 0.500 0.500 0.500

***

(11)
TaSiHg2F after structural relaxation, computed with GGA-PBE.

Values from the calculation:
- size of the total moment (μB/f.u.) = 0.00
- SG = P4/mmm
- energy relative to the elements, uncorrected (meV per atom) = 552

a = 4.947 Å, b = 4.947 Å, c = 4.814 Å
α = 90.00°, β = 90.00°, γ = 90.00°
Fractional positions:
Ta 0.000 0.000 0.000
Si 0.000 0.000 0.500
Hg 0.000 0.500 0.500
Hg 0.500 0.000 0.500
F 0.500 0.500 0.000

***

(12)
RbInPb after structural relaxation, computed with GGA-PBE.

Values from the calculation:
- size of the total moment (μB/f.u.) = 0.00
- calculated formation energy (eV/atom) = -0.018
- SG = Pmma

a = 5.998 Å, b = 6.327 Å, c = 6.773 Å
α = 90.00°, β = 90.00°, γ = 90.00°
Fractional positions:
Rb 0.250 0.000 0.237
Rb 0.750 0.000 0.763
In 0.000 0.500 0.500
In 0.500 0.500 0.500
Pb 0.250 0.500 0.900
Pb 0.750 0.500 0.100

***

(13)
Zr3TlS after structural relaxation, computed with GGA-PBE.

Values from the calculation:
- size of the total moment (μB/f.u.) = 2.49
- excess energy over the best structure of this formula in the dataset (eV per atom) = 1.982
- SG = Pm-3m
- energy relative to the elements, uncorrected (meV per atom) = 1259

a = 5.356 Å, b = 5.356 Å, c = 5.356 Å
α = 90.00°, β = 90.00°, γ = 90.00°
Fractional positions:
Zr 0.000 0.000 0.500
Zr 0.000 0.500 0.000
Zr 0.500 0.000 0.000
Tl 0.000 0.000 0.000
S 0.500 0.500 0.500

***

(14)
BeNb3Ga2 after structural relaxation, computed with GGA-PBE.

Values from the calculation:
- size of the total moment (μB/f.u.) = 0.00
- calculated formation energy (eV/atom) = -0.284
- SG = Pnma

a = 10.582 Å, b = 3.649 Å, c = 9.776 Å
α = 90.00°, β = 90.00°, γ = 90.00°
Fractional positions:
Be 0.129 0.250 0.123
Be 0.371 0.750 0.623
Be 0.629 0.250 0.377
Be 0.871 0.750 0.877
Nb 0.039 0.250 0.387
Nb 0.120 0.750 0.928
Nb 0.210 0.250 0.709
Nb 0.290 0.750 0.209
Nb 0.380 0.250 0.428
Nb 0.461 0.750 0.887
Nb 0.539 0.250 0.113
Nb 0.620 0.750 0.572
Nb 0.710 0.250 0.791
Nb 0.790 0.750 0.291
Nb 0.880 0.250 0.072
Nb 0.961 0.750 0.613
Ga 0.029 0.750 0.191
Ga 0.197 0.750 0.492
Ga 0.303 0.250 0.992
Ga 0.471 0.250 0.691
Ga 0.529 0.750 0.309
Ga 0.697 0.750 0.008
Ga 0.803 0.250 0.508
Ga 0.971 0.250 0.809

***

(15)
SiRh2 after structural relaxation, computed with GGA-PBE.

Values from the calculation:
- size of the total moment (μB/f.u.) = 0.00
- SG = P-3m1
- energy relative to the elements, uncorrected (meV per atom) = -508

a = 2.832 Å, b = 2.832 Å, c = 5.958 Å
α = 90.00°, β = 90.00°, γ = 120.00°
Fractional positions:
Si 0.000 0.000 0.000
Rh 0.333 0.667 0.299
Rh 0.667 0.333 0.701

***

(16)
AcTe2P after structural relaxation, computed with GGA-PBE.

Values from the calculation:
- size of the total moment (μB/f.u.) = 0.00
- SG = R-3m
- energy relative to the elements, uncorrected (meV per atom) = -397

a = 5.229 Å, b = 5.229 Å, c = 15.146 Å
α = 90.00°, β = 90.00°, γ = 120.00°
Fractional positions:
Ac 0.000 0.000 0.000
Ac 0.333 0.667 0.667
Ac 0.667 0.333 0.333
Te 0.000 0.000 0.227
Te 0.000 0.000 0.773
Te 0.333 0.667 0.440
Te 0.333 0.667 0.894
Te 0.667 0.333 0.106
Te 0.667 0.333 0.560
P 0.000 0.000 0.500
P 0.333 0.667 0.167
P 0.667 0.333 0.833

***

(17)
PaPdC after structural relaxation, computed with GGA-PBE.

Values from the calculation:
- size of the total moment (μB/f.u.) = 0.00
- excess energy over the best structure of this formula in the dataset (eV per atom) = 0.000
- calculated formation energy (eV/atom) = -0.234
- SG = C2/m

a = 6.648 Å, b = 3.868 Å, c = 8.828 Å
α = 90.00°, β = 110.12°, γ = 90.00°
Fractional positions:
Pa 0.144 0.000 0.306
Pa 0.356 0.500 0.694
Pa 0.644 0.500 0.306
Pa 0.856 0.000 0.694
Pd 0.209 0.500 0.092
Pd 0.291 0.000 0.908
Pd 0.709 0.000 0.092
Pd 0.791 0.500 0.908
C 0.049 0.500 0.436
C 0.451 0.000 0.564
C 0.549 0.000 0.436
C 0.951 0.500 0.564

***

(18)
AcZn3Pt after structural relaxation, computed with GGA-PBE.

Values from the calculation:
- size of the total moment (μB/f.u.) = 0.00
- excess energy over the best structure of this formula in the dataset (eV per atom) = 0.088
- calculated formation energy (eV/atom) = -0.487
- SG = Pnma

a = 8.845 Å, b = 4.415 Å, c = 10.893 Å
α = 90.00°, β = 90.00°, γ = 90.00°
Fractional positions:
Ac 0.196 0.250 0.004
Ac 0.304 0.750 0.504
Ac 0.696 0.250 0.496
Ac 0.804 0.750 0.996
Zn 0.061 0.250 0.400
Zn 0.118 0.750 0.228
Zn 0.143 0.750 0.785
Zn 0.357 0.250 0.285
Zn 0.382 0.250 0.728
Zn 0.439 0.750 0.900
Zn 0.561 0.250 0.100
Zn 0.618 0.750 0.272
Zn 0.643 0.750 0.715
Zn 0.857 0.250 0.215
Zn 0.882 0.250 0.772
Zn 0.939 0.750 0.600
Pt 0.114 0.250 0.641
Pt 0.386 0.750 0.141
Pt 0.614 0.250 0.859
Pt 0.886 0.750 0.359

***

(19)
TcRu2N after structural relaxation, computed with GGA-PBE.

Values from the calculation:
- size of the total moment (μB/f.u.) = 0.00
- SG = I-42d
- energy relative to the elements, uncorrected (meV per atom) = 556

a = 5.047 Å, b = 5.047 Å, c = 9.712 Å
α = 90.00°, β = 90.00°, γ = 90.00°
Fractional positions:
Tc 0.000 0.000 0.000
Tc 0.000 0.500 0.250
Tc 0.500 0.000 0.750
Tc 0.500 0.500 0.500
Ru 0.174 0.250 0.625
Ru 0.250 0.674 0.875
Ru 0.250 0.826 0.375
Ru 0.326 0.250 0.125
Ru 0.674 0.750 0.125
Ru 0.750 0.174 0.375
Ru 0.750 0.326 0.875
Ru 0.826 0.750 0.625
N 0.000 0.000 0.500
N 0.000 0.500 0.750
N 0.500 0.000 0.250
N 0.500 0.500 0.000

***

(20)
LaSmY2 after structural relaxation, computed with GGA-PBE.

Values from the calculation:
- size of the total moment (μB/f.u.) = 0.00
- excess energy over the best structure of this formula in the dataset (eV per atom) = 0.085
- calculated formation energy (eV/atom) = 0.096
- SG = Fm-3m

a = 8.183 Å, b = 8.183 Å, c = 8.183 Å
α = 90.00°, β = 90.00°, γ = 90.00°
Fractional positions:
La 0.000 0.000 0.000
La 0.000 0.500 0.500
La 0.500 0.000 0.500
La 0.500 0.500 0.000
Sm 0.000 0.000 0.500
Sm 0.000 0.500 0.000
Sm 0.500 0.000 0.000
Sm 0.500 0.500 0.500
Y 0.250 0.250 0.250
Y 0.250 0.250 0.750
Y 0.250 0.750 0.250
Y 0.250 0.750 0.750
Y 0.750 0.250 0.250
Y 0.750 0.250 0.750
Y 0.750 0.750 0.250
Y 0.750 0.750 0.750